The following is a PBE calculation of a relaxed structure of DyThSnAu, from Alexandria via LeMat-Bulk.

Output
The value obtained for the formation energy is -569 meV per atom. The calculation puts the total magnetic moment at 0.00 μB/atom. The total energy comes out at -5.3946 eV/atom.

Cell: 7.5050 7.5050 7.5050 Å, 90.00 90.00 90.00°
Closest atoms and distances in Å follow each position.
Space group F-43m (No. 216)
Symmetry-distinct sites (fractional):
Dy 0.0000 0.0000 0.0000 [4 per cell]  4 Au 3.25, 4 Sn 3.25
Th 0.0000 0.0000 0.5000 [4 per cell]  4 Sn 3.25, 4 Au 3.25
Sn 0.2500 0.2500 0.7500 [4 per cell]  4 Dy 3.25, 4 Th 3.25
Au 0.2500 0.2500 0.2500 [4 per cell]  4 Th 3.25, 4 Dy 3.25